An optimized crystal structure of RbBe2Ni. Source: the Alexandria database, functional PBE.

Its electronic total energy is -46.7 eV for the cell shown. The value obtained for the distance to the lowest polymorph of the same formula is 0.0 kJ/mol of atoms. The energy relative to the elements comes out at 0.63 eV/atom.

The structure belongs to space group I4_1/amd (No. 141, origin choice 2); the cell edges are 5.0200, 5.0200 and 13.7128 Å and the angles 90.00°, 90.00° and 90.00°. The asymmetric unit holds Rb at (0.0000, 0.2500, 0.3750), Be at (0.0000, 0.0000, 0.0000) and Ni at (0.0000, 0.2500, 0.8750).